Below is an optimized crystal structure of Zr3BiSe, with properties calculated at the GGA-PBE level.

Cell lengths 5.4558, 5.4558, 5.4558 Å; angles 90.00, 90.00, 90.00 degrees
Closest atoms and distances in Å follow each position.
Fractional coordinates of all 5 atoms:
Zr (0.0000, 0.0000, 0.5000)  2 Bi 2.73
Zr (0.0000, 0.5000, 0.0000)  2 Bi 2.73
Zr (0.5000, 0.0000, 0.0000)  2 Bi 2.73
Bi (0.0000, 0.0000, 0.0000)  6 Zr 2.73
Se (0.5000, 0.5000, 0.5000)  12 Zr 3.86

Summary:
The space-group type is Pm-3m, No. 221. The calculation puts the energy above the most stable polymorph in this dataset at 1506 meV per atom.



Below is an optimized crystal structure of ZrBiSe, with properties calculated at the GGA-PBE level.

Cell lengths 3.6434, 3.6434, 7.3292 Å; angles 90.00, 90.00, 120.00 degrees
Closest atoms and distances in Å follow each position.
Fractional coordinates of all 3 atoms:
Zr (0.0000, 0.0000, 0.0000)  3 Se 2.65
Bi (0.3333, 0.6667, 0.6753)  3 Zr 3.18
Se (0.6667, 0.3333, 0.2203)  3 Zr 2.65

Summary:
The space-group type is P3m1, No. 156. The calculation puts the energy above the most stable polymorph in this dataset at 30 meV per atom.



Below is an optimized crystal structure of Zr3BiSe, with properties calculated at the GGA-PBE level.

Cell lengths 5.0333, 5.0333, 5.0333 Å; angles 90.00, 90.00, 90.00 degrees
Closest atoms and distances in Å follow each position.
Fractional coordinates of all 5 atoms:
Zr (0.0000, 0.0000, 0.5000)  2 Se 2.52
Zr (0.0000, 0.5000, 0.0000)  2 Se 2.52
Zr (0.5000, 0.0000, 0.0000)  2 Se 2.52
Bi (0.5000, 0.5000, 0.5000)  12 Zr 3.56
Se (0.0000, 0.0000, 0.0000)  6 Zr 2.52

Summary:
The space-group type is Pm-3m, No. 221. The calculation puts the energy above the most stable polymorph in this dataset at 357 meV per atom.



Below is an optimized crystal structure of Si23Bi4, with properties calculated at the GGA-PBE level.

Cell lengths 10.2354, 10.2354, 10.2354 Å; angles 90.00, 90.00, 90.00 degrees
Closest atoms and distances in Å follow each position.
Fractional coordinates of all 54 atoms:
Si (0.0000, 0.1166, 0.3108)  4 Si 2.37-2.39
Si (0.0000, 0.1166, 0.6892)  4 Si 2.37-2.39
Si (0.0000, 0.2500, 0.5000)  4 Si 2.37
Si (0.0000, 0.7500, 0.5000)  4 Si 2.37
Si (0.0000, 0.8834, 0.3108)  4 Si 2.37-2.39
Si (0.0000, 0.8834, 0.6892)  4 Si 2.37-2.39
Si (0.1166, 0.3108, 0.0000)  4 Si 2.37-2.39
Si (0.1166, 0.6892, 0.0000)  4 Si 2.37-2.39
Si (0.1834, 0.1834, 0.1834)  4 Si 2.36-2.39
Si (0.1834, 0.1834, 0.8166)  4 Si 2.36-2.39
Si (0.1834, 0.8166, 0.1834)  4 Si 2.36-2.39
Si (0.1834, 0.8166, 0.8166)  4 Si 2.36-2.39
Si (0.1892, 0.3834, 0.5000)  4 Si 2.37-2.39
Si (0.1892, 0.6166, 0.5000)  4 Si 2.37-2.39
Si (0.2500, 0.5000, 0.0000)  4 Si 2.37
Si (0.3108, 0.0000, 0.1166)  4 Si 2.37-2.39
Si (0.3108, 0.0000, 0.8834)  4 Si 2.37-2.39
Si (0.3166, 0.3166, 0.3166)  4 Si 2.36-2.39
Si (0.3166, 0.3166, 0.6834)  4 Si 2.36-2.39
Si (0.3166, 0.6834, 0.3166)  4 Si 2.36-2.39
Si (0.3166, 0.6834, 0.6834)  4 Si 2.36-2.39
Si (0.3834, 0.5000, 0.1892)  4 Si 2.37-2.39
Si (0.3834, 0.5000, 0.8108)  4 Si 2.37-2.39
Si (0.5000, 0.0000, 0.2500)  4 Si 2.37
Si (0.5000, 0.0000, 0.7500)  4 Si 2.37
Si (0.5000, 0.1892, 0.3834)  4 Si 2.37-2.39
Si (0.5000, 0.1892, 0.6166)  4 Si 2.37-2.39
Si (0.5000, 0.8108, 0.3834)  4 Si 2.37-2.39
Si (0.5000, 0.8108, 0.6166)  4 Si 2.37-2.39
Si (0.6166, 0.5000, 0.1892)  4 Si 2.37-2.39
Si (0.6166, 0.5000, 0.8108)  4 Si 2.37-2.39
Si (0.6834, 0.3166, 0.3166)  4 Si 2.36-2.39
Si (0.6834, 0.3166, 0.6834)  4 Si 2.36-2.39
Si (0.6834, 0.6834, 0.3166)  4 Si 2.36-2.39
Si (0.6834, 0.6834, 0.6834)  4 Si 2.36-2.39
Si (0.6892, 0.0000, 0.1166)  4 Si 2.37-2.39
Si (0.6892, 0.0000, 0.8834)  4 Si 2.37-2.39
Si (0.7500, 0.5000, 0.0000)  4 Si 2.37
Si (0.8108, 0.3834, 0.5000)  4 Si 2.37-2.39
Si (0.8108, 0.6166, 0.5000)  4 Si 2.37-2.39
Si (0.8166, 0.1834, 0.1834)  4 Si 2.36-2.39
Si (0.8166, 0.1834, 0.8166)  4 Si 2.36-2.39
Si (0.8166, 0.8166, 0.1834)  4 Si 2.36-2.39
Si (0.8166, 0.8166, 0.8166)  4 Si 2.36-2.39
Si (0.8834, 0.3108, 0.0000)  4 Si 2.37-2.39
Si (0.8834, 0.6892, 0.0000)  4 Si 2.37-2.39
Bi (0.0000, 0.0000, 0.0000)  20 Si 3.25-3.40
Bi (0.0000, 0.5000, 0.2500)  20 Si 3.42-3.81
Bi (0.0000, 0.5000, 0.7500)  20 Si 3.42-3.81
Bi (0.2500, 0.0000, 0.5000)  20 Si 3.42-3.81
Bi (0.5000, 0.2500, 0.0000)  20 Si 3.42-3.81
Bi (0.5000, 0.5000, 0.5000)  20 Si 3.25-3.40
Bi (0.5000, 0.7500, 0.0000)  20 Si 3.42-3.81
Bi (0.7500, 0.0000, 0.5000)  20 Si 3.42-3.81

Summary:
The calculation puts the raw total energy at -4.9816 eV/atom. The space-group type is Pm-3n, No. 223.



Below is an optimized crystal structure of Sm6Si2Bi, with properties calculated at the GGA-PBE level.

Cell lengths 8.7290, 8.7290, 8.7290 Å; angles 112.83, 111.20, 104.50 degrees
Closest atoms and distances in Å follow each position.
Fractional coordinates of all 18 atoms:
Sm (0.0298, 0.2418, 0.7880)  2 Si 3.04-3.24, 1 Bi 3.32
Sm (0.1899, 0.2791, 0.4690)  3 Si 3.08-3.26, 1 Bi 3.28
Sm (0.1899, 0.7209, 0.9108)  3 Si 3.08-3.26, 1 Bi 3.28
Sm (0.3190, 0.0216, 0.7026)  3 Si 2.95-3.01
Sm (0.3190, 0.6164, 0.2974)  3 Si 2.95-3.01
Sm (0.4538, 0.2418, 0.2120)  2 Si 3.04-3.24, 1 Bi 3.32
Sm (0.5462, 0.7582, 0.7880)  2 Si 3.04-3.24, 1 Bi 3.32
Sm (0.6810, 0.3836, 0.7026)  3 Si 2.95-3.01
Sm (0.6810, 0.9784, 0.2974)  3 Si 2.95-3.01
Sm (0.8101, 0.2791, 0.0892)  3 Si 3.08-3.26, 1 Bi 3.28
Sm (0.8101, 0.7209, 0.5310)  3 Si 3.08-3.26, 1 Bi 3.28
Sm (0.9702, 0.7582, 0.2120)  2 Si 3.04-3.24, 1 Bi 3.32
Si (0.1123, 0.6123, 0.5000)  1 Si 2.40
Si (0.3752, 0.0000, 0.3752)  1 Si 2.46
Si (0.6248, 0.0000, 0.6248)  1 Si 2.46
Si (0.8877, 0.3877, 0.5000)  1 Si 2.40
Bi (0.0000, 0.0000, 0.0000)  8 Sm 3.28-3.32
Bi (0.5000, 0.5000, 0.0000)  12 Sm 3.46-3.73

Summary:
The calculation puts the raw total energy at -5.3491 eV/atom. The space-group type is Immm, No. 71.



Below is an optimized crystal structure of Sm5SiBi2, with properties calculated at the GGA-PBE level.

Cell lengths 7.1924, 7.1924, 14.2567 Å; angles 90.00, 90.00, 129.34 degrees
Closest atoms and distances in Å follow each position.
Fractional coordinates of all 16 atoms:
Sm (0.0561, 0.9439, 0.6202)  1 Si 2.84, 1 Bi 3.16
Sm (0.0561, 0.9439, 0.8798)  1 Si 2.84, 1 Bi 3.16
Sm (0.3172, 0.6828, 0.2500)  2 Bi 3.11, 2 Si 3.12
Sm (0.3645, 0.6355, 0.5927)  1 Si 2.91, 2 Bi 3.16
Sm (0.3645, 0.6355, 0.9073)  1 Si 2.91, 2 Bi 3.16
Sm (0.6355, 0.3645, 0.0927)  1 Si 2.91, 2 Bi 3.16
Sm (0.6355, 0.3645, 0.4073)  1 Si 2.91, 2 Bi 3.16
Sm (0.6828, 0.3172, 0.7500)  2 Bi 3.11, 2 Si 3.12
Sm (0.9439, 0.0561, 0.1202)  1 Si 2.84, 1 Bi 3.16
Sm (0.9439, 0.0561, 0.3798)  1 Si 2.84, 1 Bi 3.16
Si (0.2221, 0.7779, 0.7500)  6 Sm 2.84-3.12
Si (0.7779, 0.2221, 0.2500)  6 Sm 2.84-3.12
Bi (0.1832, 0.8168, 0.0689)  6 Sm 3.11-3.30
Bi (0.1832, 0.8168, 0.4311)  6 Sm 3.11-3.30
Bi (0.8168, 0.1832, 0.5689)  6 Sm 3.11-3.30
Bi (0.8168, 0.1832, 0.9311)  6 Sm 3.11-3.30

Summary:
The calculation puts the raw total energy at -4.9294 eV/atom. The space-group type is Cmcm, No. 63.



Below is an optimized crystal structure of Sm12SiBi6, with properties calculated at the GGA-PBE level.

Cell lengths 8.8340, 8.8340, 8.8340 Å; angles 98.94, 98.94, 98.94 degrees
Closest atoms and distances in Å follow each position.
Fractional coordinates of all 19 atoms:
Sm (0.0044, 0.6799, 0.9344)  1 Si 2.80
Sm (0.0656, 0.9956, 0.3201)  1 Si 2.80
Sm (0.1980, 0.4204, 0.5489)  4 Bi 3.18-3.42
Sm (0.3201, 0.0656, 0.9956)  1 Si 2.80
Sm (0.4204, 0.5489, 0.1980)  4 Bi 3.18-3.42
Sm (0.4511, 0.8020, 0.5796)  4 Bi 3.18-3.42
Sm (0.5489, 0.1980, 0.4204)  4 Bi 3.18-3.42
Sm (0.5796, 0.4511, 0.8020)  4 Bi 3.18-3.42
Sm (0.6799, 0.9344, 0.0044)  1 Si 2.80
Sm (0.8020, 0.5796, 0.4511)  4 Bi 3.18-3.42
Sm (0.9344, 0.0044, 0.6799)  1 Si 2.80
Sm (0.9956, 0.3201, 0.0656)  1 Si 2.80
Si (0.0000, 0.0000, 0.0000)  6 Sm 2.80
Bi (0.1192, 0.6490, 0.3095)  7 Sm 3.16-3.42
Bi (0.3095, 0.1192, 0.6490)  7 Sm 3.16-3.42
Bi (0.3510, 0.6905, 0.8808)  7 Sm 3.16-3.42
Bi (0.6490, 0.3095, 0.1192)  7 Sm 3.16-3.42
Bi (0.6905, 0.8808, 0.3510)  7 Sm 3.16-3.42
Bi (0.8808, 0.3510, 0.6905)  7 Sm 3.16-3.42

Summary:
The calculation puts the raw total energy at -4.9948 eV/atom. The space-group type is R-3, No. 148.



Below is an optimized crystal structure of Sm6SiBi2, with properties calculated at the GGA-PBE level.

Cell lengths 6.4253, 8.3973, 12.2355 Å; angles 90.00, 121.20, 90.00 degrees
Closest atoms and distances in Å follow each position.
Fractional coordinates of all 18 atoms:
Sm (0.0860, 0.1852, 0.4563)  1 Si 2.88
Sm (0.0860, 0.3148, 0.9563)  1 Si 2.88
Sm (0.3257, 0.6775, 0.4574)  1 Si 2.87
Sm (0.3257, 0.8225, 0.9574)  1 Si 2.87
Sm (0.3631, 0.0325, 0.2391)  1 Si 2.85
Sm (0.3631, 0.4675, 0.7391)  1 Si 2.85
Sm (0.6369, 0.5325, 0.2609)  1 Si 2.85
Sm (0.6369, 0.9675, 0.7609)  1 Si 2.85
Sm (0.6743, 0.1775, 0.0426)  1 Si 2.87
Sm (0.6743, 0.3225, 0.5426)  1 Si 2.87
Sm (0.9140, 0.6852, 0.0437)  1 Si 2.88
Sm (0.9140, 0.8148, 0.5437)  1 Si 2.88
Si (0.5000, 0.0000, 0.5000)  6 Sm 2.85-2.88
Si (0.5000, 0.5000, 0.0000)  6 Sm 2.85-2.88
Bi (0.1537, 0.1112, 0.7488)  9 Sm 3.26-3.61
Bi (0.1537, 0.3888, 0.2488)  9 Sm 3.26-3.61
Bi (0.8463, 0.6112, 0.7512)  9 Sm 3.26-3.61
Bi (0.8463, 0.8888, 0.2512)  9 Sm 3.26-3.61

Summary:
The calculation puts the raw total energy at -5.1522 eV/atom. The space-group type is P2_1/c, No. 14.



| no. | density (g/cm³) |
| --- | --- |
| 1 | 5.7 |
| 2 | 7.5 |
| 3 | 7.3 |
| 4 | 4.6 |
| 5 | 7.6 |
| 6 | 7.0 |
| 7 | 7.8 |
| 8 | 7.9 |